Material: Gd2AlFe
Method: DFT, PBE
State: relaxed

a = 3.5365 Å, b = 3.5365 Å, c = 7.0988 Å
α = 90.00°, β = 90.00°, γ = 90.00°
Each line ends with the local moment (μB).
Fractional coordinates of all 4 atoms:
Al: 0.5000 0.5000 0.5000  0.01
Fe: 0.5000 0.5000 0.0000  2.08
Gd: 0.0000 0.0000 0.7699  -7.25
Gd: 0.0000 0.0000 0.2301  -7.25

* size of the total moment: 12.95 μB/cell
* mass density: 7.43 g/cm³
* DOS at the Fermi energy: 1.35 states/eV/atom
* total DFT energy (no corrections): -10.22 eV/atom
* SG: P4/mmm
* volume: 22.2 Å³ per atom


Material: LiGdAlFe
Method: DFT, PBE
State: relaxed

a = 4.5501 Å, b = 4.5501 Å, c = 4.5501 Å
α = 60.00°, β = 60.00°, γ = 60.00°
Each line ends with the local moment (μB).
Fractional coordinates of all 4 atoms:
Gd: 0.7500 0.7500 0.7500  7.07
Al: 0.2500 0.2500 0.2500  -0.03
Fe: 0.5000 0.5000 0.5000  0.79
Li: 0.0000 0.0000 0.0000  0.02

* size of the total moment: 7.99 μB/cell
* mass density: 6.16 g/cm³
* DOS at the Fermi energy: 0.93 states/eV/atom
* total DFT energy (no corrections): -7.07 eV/atom
* SG: F-43m
* volume: 16.7 Å³ per atom


Material: GdLuAlFe
Method: DFT, PBE
State: relaxed

a = 4.9369 Å, b = 4.9369 Å, c = 4.9369 Å
α = 60.00°, β = 60.00°, γ = 60.00°
Each line ends with the local moment (μB).
Fractional coordinates of all 4 atoms:
Lu: 0.5000 0.5000 0.5000  0.23
Gd: 0.0000 0.0000 0.0000  7.21
Al: 0.2500 0.2500 0.2500  0.00
Fe: 0.7500 0.7500 0.7500  -1.93

* size of the total moment: 5.80 μB/cell
* mass density: 8.10 g/cm³
* DOS at the Fermi energy: 1.75 states/eV/atom
* total DFT energy (no corrections): -7.79 eV/atom
* SG: F-43m
* volume: 21.3 Å³ per atom


Material: AlFeGe3
Method: DFT, PBE
State: relaxed

a = 4.7790 Å, b = 4.7790 Å, c = 4.7790 Å
α = 90.00°, β = 90.00°, γ = 90.00°
Each line ends with the local moment (μB).
Fractional coordinates of all 5 atoms:
Fe: 0.5000 0.5000 0.5000  3.21
Ge: 0.5000 0.0000 0.0000  -0.02
Ge: 0.0000 0.5000 0.0000  -0.07
Ge: 0.0000 0.0000 0.5000  -0.04
Al: 0.0000 0.0000 0.0000  -0.01

* size of the total moment: 3.09 μB/cell
* mass density: 4.58 g/cm³
* DOS at the Fermi energy: 1.46 states/eV/atom
* total DFT energy (no corrections): -4.18 eV/atom
* SG: Pm-3m
* volume: 21.8 Å³ per atom


Material: AlFe3Ge
Method: DFT, PBE
State: relaxed

a = 4.3424 Å, b = 4.3424 Å, c = 4.3424 Å
α = 90.00°, β = 90.00°, γ = 90.00°
Each line ends with the local moment (μB).
Fractional coordinates of all 5 atoms:
Al: 0.5000 0.5000 0.5000  -0.06
Fe: 0.0000 0.0000 0.5000  2.26
Fe: 0.0000 0.5000 0.0000  2.22
Ge: 0.0000 0.0000 0.0000  -0.15
Fe: 0.5000 0.0000 0.0000  2.10

* size of the total moment: 6.16 μB/cell
* mass density: 5.42 g/cm³
* DOS at the Fermi energy: 1.43 states/eV/atom
* total DFT energy (no corrections): -5.97 eV/atom
* SG: Pm-3m
* volume: 16.4 Å³ per atom


Material: AlFeGe2
Method: DFT, PBE
State: relaxed

a = 5.9003 Å, b = 5.9003 Å, c = 6.5653 Å
α = 63.30°, β = 63.30°, γ = 90.00°
Each line ends with the local moment (μB).
Fractional coordinates of all 8 atoms:
Ge: 0.0954 0.6250 0.2500  -0.10
Fe: 0.0000 0.0000 0.0000  2.17
Fe: 0.7500 0.2500 0.5000  2.18
Ge: 0.3750 0.3454 0.7500  -0.10
Al: 0.2500 0.7500 0.5000  0.02
Ge: 0.8750 0.9046 0.7500  -0.10
Ge: 0.6546 0.1250 0.2500  -0.10
Al: 0.5000 0.5000 0.0000  0.02

* size of the total moment: 4.10 μB/cell
* mass density: 4.29 g/cm³
* DOS at the Fermi energy: 1.46 states/eV/atom
* total DFT energy (no corrections): -4.85 eV/atom
* SG: I-42d
* volume: 22.1 Å³ per atom


Material: Al2Fe8Ge
Method: DFT, PBE
State: relaxed

a = 6.3592 Å, b = 4.6539 Å, c = 4.9880 Å
α = 98.19°, β = 75.95°, γ = 81.90°
Each line ends with the local moment (μB).
Fractional coordinates of all 11 atoms:
Fe: 0.3410 0.1641 0.7507  2.15
Fe: 0.3171 0.1560 0.2550  2.40
Fe: 0.3467 0.6611 0.9735  2.18
Ge: 0.0000 0.0000 0.0000  -0.10
Fe: 0.6829 0.8440 0.7450  2.40
Fe: 0.9954 0.4699 0.7506  2.29
Fe: 0.6533 0.3389 0.0265  2.18
Fe: 0.0046 0.5301 0.2494  2.29
Al: 0.3060 0.6797 0.4842  -0.06
Fe: 0.6590 0.8359 0.2493  2.15
Al: 0.6940 0.3203 0.5158  -0.06

* size of the total moment: 17.55 μB/cell
* mass density: 6.83 g/cm³
* DOS at the Fermi energy: 0.71 states/eV/atom
* total DFT energy (no corrections): -7.32 eV/atom
* SG: P-1
* volume: 12.7 Å³ per atom


Material: Al3FeGe
Method: DFT, PBE
State: relaxed

a = 4.7078 Å, b = 4.7078 Å, c = 4.7078 Å
α = 90.00°, β = 90.00°, γ = 90.00°
Each line ends with the local moment (μB).
Fractional coordinates of all 5 atoms:
Al: 0.0000 0.5000 0.0000  -0.01
Ge: 0.0000 0.0000 0.0000  0.00
Al: 0.0000 0.0000 0.5000  -0.01
Fe: 0.5000 0.5000 0.5000  3.09
Al: 0.5000 0.0000 0.0000  -0.02

* size of the total moment: 2.94 μB/cell
* mass density: 3.33 g/cm³
* DOS at the Fermi energy: 1.05 states/eV/atom
* total DFT energy (no corrections): -3.79 eV/atom
* SG: Pm-3m
* volume: 20.9 Å³ per atom


| no. | formation energy (eV per formula unit) |
| --- | --- |
| 1 | -0.50 |
| 2 | -0.09 |
| 3 | -0.37 |
| 4 | 5.15 |
| 5 | 3.87 |
| 6 | 2.03 |
| 7 | -0.75 |
| 8 | 5.37 |